An optimized crystal structure of Fe2AsBrF, computed with PBE+U.

Cell lengths 5.009, 5.009, 4.256 Å; angles 90.00, 90.00, 90.00 degrees
Sites, in units of the cell vectors:
Fe 0.000 0.500 0.000
Fe 0.500 0.000 0.000
As 0.000 0.000 0.500
Br 0.500 0.500 0.000
F 0.500 0.500 0.500

uncorrected energy: -3.425 eV/atom
N(E_F): 0.356 states/eV per atom

---

An optimized crystal structure of FeAsBr2F, computed with PBE+U.

Cell lengths 4.952, 4.952, 5.134 Å; angles 90.00, 90.00, 90.00 degrees
Sites, in units of the cell vectors:
Fe 0.000 0.000 0.000
As 0.000 0.000 0.500
Br 0.000 0.500 0.000
Br 0.500 0.000 0.000
F 0.500 0.500 0.500

energy above the most stable polymorph in this dataset: 23 meV/atom
uncorrected energy: -2.958 eV/atom
N(E_F): 0.715 states/eV per atom

---

An optimized crystal structure of FeAsBr2F, computed with PBE+U.

Cell lengths 5.565, 5.565, 3.897 Å; angles 90.00, 90.00, 90.00 degrees
Sites, in units of the cell vectors:
Fe 0.000 0.000 0.000
As 0.500 0.500 0.000
Br 0.000 0.500 0.500
Br 0.500 0.000 0.500
F 0.500 0.500 0.500

energy above the most stable polymorph in this dataset: 0 meV/atom
uncorrected energy: -2.981 eV/atom
N(E_F): 0.622 states/eV per atom

---

Going through the records in order, we get theoretical density values of 4.44; 4.08; 4.26 Mg/m³.